{"formula": "CeTmAsS", "functional": "PBE", "state": "optimized geometry", "lattice_angstrom": [[-0.527, 3.532, 1.702], [0.967, -3.136, 2.210], [6.907, 0.162, -2.793]], "species": ["Ce", "Tm", "As", "S"], "fractional_positions": [[0.964, 0.380, 0.359], [0.307, 0.551, 0.873], [0.124, 0.960, 0.100], [0.483, 0.139, 0.638]], "magnetic_moment_mub_per_cell": 1.41, "raw_formation_energy_kcal_per_mol_atoms": -37.48, "crystal_system": "trigonal"}

{"formula": "Ce2TmAs2S2", "functional": "PBE", "state": "optimized geometry", "lattice_angstrom": [[-0.683, 2.878, -4.398], [-2.585, -4.045, -2.246], [-4.385, 3.025, 5.854]], "species": ["Ce", "Ce", "Tm", "As", "As", "S", "S"], "fractional_positions": [[0.377, 0.377, 0.754], [0.623, 0.623, 0.246], [0.000, 0.000, 0.000], [0.000, 0.500, 0.000], [0.500, 0.000, 0.000], [0.192, 0.192, 0.384], [0.808, 0.808, 0.616]], "magnetic_moment_mub_per_cell": 1.10, "raw_formation_energy_kcal_per_mol_atoms": -28.41, "crystal_system": "tetragonal"}

{"formula": "CeYAsS", "functional": "PBE", "state": "optimized geometry", "lattice_angstrom": [[4.004, -0.001, 0.000], [-2.002, 3.468, 0.000], [-2.001, -1.156, 7.043]], "species": ["Ce", "Y", "As", "S"], "fractional_positions": [[0.962, 0.379, 0.356], [0.312, 0.554, 0.881], [0.477, 0.137, 0.629], [0.126, 0.961, 0.103]], "magnetic_moment_mub_per_cell": 1.21, "raw_formation_energy_kcal_per_mol_atoms": -37.87, "crystal_system": "trigonal"}

{"formula": "Ce3SbAs2", "functional": "PBE", "state": "optimized geometry", "lattice_angstrom": [[7.484, -0.006, 0.000], [3.755, 6.474, 0.000], [-4.985, -4.336, 3.515]], "species": ["Ce", "Ce", "Ce", "Sb", "As", "As"], "fractional_positions": [[0.000, 0.000, 0.000], [0.677, 0.677, 0.000], [0.323, 0.323, 0.000], [0.500, 0.000, 0.500], [0.163, 0.663, 0.500], [0.837, 0.337, 0.500]], "magnetic_moment_mub_per_cell": 2.34, "polymorph_energy_mev_per_atom": 2, "raw_formation_energy_kcal_per_mol_atoms": -29.29, "crystal_system": "orthorhombic"}

{"formula": "Ce4SbAs5", "functional": "PBE", "state": "optimized geometry", "lattice_angstrom": [[-3.563, 1.967, -1.036], [-3.324, -2.218, -1.294], [-7.794, -1.409, 15.615]], "species": ["Ce", "Ce", "Ce", "Ce", "Sb", "As", "As", "As", "As", "As"], "fractional_positions": [[0.901, 0.901, 0.298], [0.300, 0.300, 0.099], [0.700, 0.700, 0.901], [0.099, 0.099, 0.702], [0.500, 0.500, 0.500], [0.400, 0.400, 0.800], [0.000, 0.000, 0.000], [0.600, 0.600, 0.200], [0.800, 0.800, 0.599], [0.200, 0.200, 0.401]], "magnetic_moment_mub_per_cell": 3.12, "polymorph_energy_mev_per_atom": 0, "raw_formation_energy_kcal_per_mol_atoms": -24.68, "crystal_system": "trigonal"}

{"formula": "Ce4SbAs5", "functional": "PBE", "state": "optimized geometry", "lattice_angstrom": [[-1.245, 3.416, -2.669], [-7.469, -2.660, 0.081], [6.893, 5.258, 7.323]], "species": ["Ce", "Ce", "Ce", "Ce", "Sb", "As", "As", "As", "As", "As"], "fractional_positions": [[0.290, 0.835, 0.580], [0.988, 0.708, 0.975], [0.710, 0.165, 0.420], [0.012, 0.292, 0.025], [0.500, 0.000, 0.000], [0.850, 0.712, 0.700], [0.839, 0.161, 0.679], [0.161, 0.839, 0.321], [0.500, 0.500, 0.000], [0.150, 0.288, 0.300]], "magnetic_moment_mub_per_cell": 0.67, "polymorph_energy_mev_per_atom": 148, "raw_formation_energy_kcal_per_mol_atoms": -21.26, "crystal_system": "monoclinic"}

{"formula": "Ce4SbAs", "functional": "PBE", "state": "optimized geometry", "lattice_angstrom": [[5.615, 0.000, 0.000], [0.000, 7.675, 0.384], [-2.808, -2.616, 7.540]], "species": ["Ce", "Ce", "Ce", "Ce", "Ce", "Ce", "Ce", "Ce", "Sb", "Sb", "As", "As"], "fractional_positions": [[0.325, 0.113, 0.325], [0.000, 0.613, 0.325], [0.658, 0.977, 0.148], [0.490, 0.477, 0.148], [0.342, 0.023, 0.852], [0.510, 0.523, 0.852], [0.675, 0.887, 0.675], [0.000, 0.387, 0.675], [0.085, 0.750, 0.000], [0.915, 0.250, 0.000], [0.500, 0.500, 0.500], [0.000, 0.000, 0.500]], "magnetic_moment_mub_per_cell": 6.59, "raw_formation_energy_kcal_per_mol_atoms": -15.69, "crystal_system": "monoclinic"}

{"formula": "Ce5Sb5As", "functional": "PBE", "state": "optimized geometry", "lattice_angstrom": [[6.234, 0.000, 0.000], [-3.117, 7.008, -0.087], [0.000, -2.722, 8.379]], "species": ["Ce", "Ce", "Ce", "Ce", "Ce", "Sb", "Sb", "Sb", "Sb", "Sb", "As"], "fractional_positions": [[0.840, 0.680, 0.163], [0.838, 0.676, 0.673], [0.500, 0.000, 0.000], [0.162, 0.324, 0.327], [0.160, 0.320, 0.837], [0.672, 0.344, 0.334], [0.664, 0.328, 0.828], [0.000, 0.000, 0.500], [0.336, 0.672, 0.172], [0.328, 0.656, 0.666], [0.000, 0.000, 0.000]], "magnetic_moment_mub_per_cell": 2.30, "raw_formation_energy_kcal_per_mol_atoms": -19.77, "crystal_system": "monoclinic"}